1.
Entry from Alexandria via LeMat-Bulk: Tm6Sn2Hg after structural relaxation (GGA-PBE).

Summary:
Crystal system: hexagonal
M_tot: 3.79 μB/cell
Energy of formation from the pure elements: -0.45 eV/atom
DFT total energy: -4.35 eV/atom

```
9
Lattice="4.298 0.000 0.000 0.000 8.187 0.000 0.000 -4.093 7.088" Properties=species:S:1:pos:R:3 pbc="T T T"
Tm 2.149 4.881 0.000
Tm 2.149 1.653 2.862
Tm 2.149 5.746 4.227
Tm 0.000 2.094 0.000
Tm 0.000 3.047 5.276
Tm 0.000 7.140 1.812
Sn 0.000 0.000 4.725
Sn 0.000 4.093 2.363
Hg 2.149 0.000 0.000
```

=====

2.
Entry from Alexandria via LeMat-Bulk: KBeSn2As after structural relaxation (GGA-PBE).

Summary:
Crystal system: tetragonal
M_tot: 0.00 μB/cell
Energy of formation from the pure elements: 0.40 eV/atom
DFT total energy: -3.09 eV/atom

```
5
Lattice="-1.826 0.046 4.541 3.672 -2.866 1.505 2.957 4.390 1.144" Properties=species:S:1:pos:R:3 pbc="T T T"
K 1.478 2.195 0.572
Be 0.000 0.000 0.000
As 2.401 0.785 3.595
Sn 1.836 -1.433 0.753
Sn -0.913 0.023 2.271
```